{"formula": "LiIrRh", "functional": "PBE", "state": "optimized geometry", "dos_ef_per_ev_cell": 20.147, "formation_energy_ev_per_atom": 0.6092, "dft_energy_ev_per_atom": -5.433, "cell": [[5.517, 0.000, 0.000], [0.000, 5.517, 0.000], [0.000, 0.000, 5.517]], "species": ["Li", "Li", "Li", "Li", "Ir", "Ir", "Ir", "Ir", "Rh", "Rh", "Rh", "Rh"], "fractional_positions": [[0.000, 0.000, 0.000], [0.000, 0.500, 0.500], [0.500, 0.000, 0.500], [0.500, 0.500, 0.000], [0.250, 0.250, 0.750], [0.250, 0.750, 0.250], [0.750, 0.250, 0.250], [0.750, 0.750, 0.750], [0.250, 0.250, 0.250], [0.250, 0.750, 0.750], [0.750, 0.250, 0.750], [0.750, 0.750, 0.250]]}

***

{"formula": "GaHRh3", "functional": "PBE", "state": "optimized geometry", "dos_ef_per_ev_cell": 7.107, "dft_energy_ev_per_atom": -5.921, "cell": [[4.156, 0.000, 0.000], [0.023, 5.354, 0.000], [0.012, 0.136, 5.358]], "species": ["Ga", "Ga", "H", "H", "Rh", "Rh", "Rh", "Rh", "Rh", "Rh"], "fractional_positions": [[0.000, 0.000, 0.000], [0.003, 0.545, 0.548], [0.084, 0.272, 0.286], [0.519, 0.532, 0.034], [0.001, 0.033, 0.520], [0.002, 0.519, 0.038], [0.502, 0.224, 0.838], [0.502, 0.733, 0.728], [0.502, 0.842, 0.229], [0.505, 0.337, 0.346]]}

***

{"formula": "SrTa2Cr", "functional": "PBE", "state": "optimized geometry", "dos_ef_per_ev_cell": 19.299, "formation_energy_ev_per_atom": 1.1983, "dft_energy_ev_per_atom": -7.554, "cell": [[6.725, 0.000, 0.000], [0.000, 6.725, 0.000], [0.000, 0.000, 6.725]], "species": ["Sr", "Sr", "Sr", "Sr", "Ta", "Ta", "Ta", "Ta", "Ta", "Ta", "Ta", "Ta", "Cr", "Cr", "Cr", "Cr"], "fractional_positions": [[0.000, 0.000, 0.000], [0.000, 0.500, 0.500], [0.500, 0.000, 0.500], [0.500, 0.500, 0.000], [0.250, 0.250, 0.250], [0.250, 0.250, 0.750], [0.250, 0.750, 0.250], [0.250, 0.750, 0.750], [0.750, 0.250, 0.250], [0.750, 0.250, 0.750], [0.750, 0.750, 0.250], [0.750, 0.750, 0.750], [0.000, 0.000, 0.500], [0.000, 0.500, 0.000], [0.500, 0.000, 0.000], [0.500, 0.500, 0.500]]}

***

{"formula": "SrZnAs", "functional": "PBE", "state": "optimized geometry", "dos_ef_per_ev_cell": 2.746, "formation_energy_ev_per_atom": -0.3707, "dft_energy_ev_per_atom": -2.906, "cell": [[3.559, 0.000, 0.000], [0.000, 3.796, 0.000], [0.000, 0.000, 10.823]], "species": ["Sr", "Sr", "Zn", "Zn", "As", "As"], "fractional_positions": [[0.000, 0.000, 0.000], [0.500, 0.500, 0.500], [0.000, 0.000, 0.301], [0.500, 0.500, 0.801], [0.000, 0.000, 0.696], [0.500, 0.500, 0.196]]}

***

{"formula": "Ca5CuAu2", "functional": "PBE", "state": "optimized geometry", "dos_ef_per_ev_cell": 9.924, "formation_energy_ev_per_atom": -0.4562, "dft_energy_ev_per_atom": -3.039, "cell": [[8.104, 0.000, 0.000], [0.000, 12.756, 0.000], [0.000, 0.000, 4.433]], "species": ["Ca", "Ca", "Ca", "Ca", "Ca", "Ca", "Ca", "Ca", "Ca", "Ca", "Cu", "Cu", "Au", "Au", "Au", "Au"], "fractional_positions": [[0.000, 0.000, 0.000], [0.166, 0.298, 0.000], [0.176, 0.592, 0.500], [0.324, 0.092, 0.500], [0.334, 0.798, 0.000], [0.500, 0.500, 0.000], [0.666, 0.202, 0.000], [0.676, 0.908, 0.500], [0.824, 0.408, 0.500], [0.834, 0.702, 0.000], [0.000, 0.500, 0.000], [0.500, 0.000, 0.000], [0.042, 0.828, 0.500], [0.458, 0.328, 0.500], [0.542, 0.672, 0.500], [0.958, 0.172, 0.500]]}

***

{"formula": "NaCdIn5", "functional": "PBE", "state": "optimized geometry", "dos_ef_per_ev_cell": 3.947, "formation_energy_ev_per_atom": -0.0159, "dft_energy_ev_per_atom": -2.291, "cell": [[5.169, 0.000, 0.000], [0.000, 5.169, 0.000], [0.000, 0.000, 7.177]], "species": ["Na", "Cd", "In", "In", "In", "In", "In"], "fractional_positions": [[0.000, 0.000, 0.000], [0.000, 0.000, 0.500], [0.000, 0.500, 0.272], [0.000, 0.500, 0.728], [0.500, 0.000, 0.272], [0.500, 0.000, 0.728], [0.500, 0.500, 0.000]]}

***

{"formula": "Tb12Ni6Bi", "functional": "PBE", "state": "optimized geometry", "dos_ef_per_ev_cell": 19.871, "formation_energy_ev_per_atom": -0.3910, "dft_energy_ev_per_atom": -5.345, "cell": [[-4.902, 4.902, 4.902], [4.902, -4.902, 4.902], [4.902, 4.902, -4.902]], "species": ["Tb", "Tb", "Tb", "Tb", "Tb", "Tb", "Tb", "Tb", "Tb", "Tb", "Tb", "Tb", "Ni", "Ni", "Ni", "Ni", "Ni", "Ni", "Bi"], "fractional_positions": [[0.119, 0.308, 0.812], [0.188, 0.496, 0.308], [0.188, 0.881, 0.692], [0.308, 0.188, 0.496], [0.308, 0.812, 0.119], [0.496, 0.308, 0.188], [0.504, 0.692, 0.812], [0.692, 0.188, 0.881], [0.692, 0.812, 0.504], [0.812, 0.119, 0.308], [0.812, 0.504, 0.692], [0.881, 0.692, 0.188], [0.123, 0.500, 0.623], [0.377, 0.877, 0.500], [0.500, 0.377, 0.877], [0.500, 0.623, 0.123], [0.623, 0.123, 0.500], [0.877, 0.500, 0.377], [0.000, 0.000, 0.000]]}

***

{"formula": "Nd2HoSi", "functional": "PBE", "state": "optimized geometry", "dos_ef_per_ev_cell": 18.708, "raw_formation_energy_ev_per_atom": 0.078, "dft_energy_ev_per_atom": -4.806, "cell": [[3.705, 0.000, 0.000], [-1.853, 3.209, 0.000], [0.000, 0.000, 32.732]], "species": ["Nd", "Nd", "Nd", "Nd", "Nd", "Nd", "Ho", "Ho", "Ho", "Si", "Si", "Si"], "fractional_positions": [[0.000, 0.000, 0.107], [0.000, 0.000, 0.893], [0.333, 0.667, 0.560], [0.333, 0.667, 0.773], [0.667, 0.333, 0.227], [0.667, 0.333, 0.440], [0.000, 0.000, 0.000], [0.333, 0.667, 0.667], [0.667, 0.333, 0.333], [0.000, 0.000, 0.500], [0.333, 0.667, 0.167], [0.667, 0.333, 0.833]]}

***

{"formula": "FeCo2SbH", "functional": "PBE", "state": "optimized geometry", "dos_ef_per_ev_cell": 4.154, "dft_energy_ev_per_atom": -6.001, "cell": [[3.706, 0.000, 0.000], [0.000, 3.706, 0.000], [0.000, 0.000, 3.769]], "species": ["Fe", "Co", "Co", "Sb", "H"], "fractional_positions": [[0.000, 0.000, 0.000], [0.000, 0.500, 0.500], [0.500, 0.000, 0.500], [0.500, 0.500, 0.000], [0.000, 0.000, 0.500]]}

***

{"formula": "TbMgAs2Rh5", "functional": "PBE", "state": "optimized geometry", "dos_ef_per_ev_cell": 5.613, "formation_energy_ev_per_atom": -0.5693, "dft_energy_ev_per_atom": -6.378, "cell": [[4.210, 0.000, 0.000], [0.000, 4.210, 0.000], [0.000, 0.000, 8.716]], "species": ["Tb", "Mg", "As", "As", "Rh", "Rh", "Rh", "Rh", "Rh"], "fractional_positions": [[0.000, 0.000, 0.000], [0.000, 0.000, 0.500], [0.500, 0.500, 0.358], [0.500, 0.500, 0.642], [0.000, 0.500, 0.236], [0.000, 0.500, 0.764], [0.500, 0.000, 0.236], [0.500, 0.000, 0.764], [0.500, 0.500, 0.000]]}